# TiCrPO2, relaxed, DFT PBE+U
data_TiCrPO2
_cell_length_a 3.6778
_cell_length_b 3.6778
_cell_length_c 5.0604
_cell_angle_alpha 90.00
_cell_angle_beta 90.00
_cell_angle_gamma 90.00
_space_group_name_H-M_alt 'P 1'
_space_group_IT_number 1
loop_
_space_group_symop_operation_xyz
'x,y,z'
loop_
_atom_site_label
_atom_site_fract_x
_atom_site_fract_y
_atom_site_fract_z
_atom_site_occupancy
Ti1 0.0000 0.0000 0.0000 1
Cr1 0.5000 0.5000 0.5000 1
P1 0.5000 0.5000 0.0000 1
O1 0.0000 0.5000 0.5000 1
O2 0.5000 0.0000 0.5000 1
# - space group = P4/mmm
# - offset from the most stable computed form (meV per atom) = 491.2
# - spin magnetization (μB per cell) = 2.8